# 1
DFT (PBE) results for an optimized crystal structure of Ta2Be2Co5Ni.

Output
- ΔH_f (0 K) (eV per atom) = -0.2198
- density of states at the Fermi level (states/eV per cell) = 20.07

Lattice parameters (Å, degrees): 3.201 8.377 8.377 90.00 90.00 90.00
Site moments in Bohr magnetons follow the coordinates.
Fractional positions:
Ta: 0.000 0.320 0.820  -0.05
Co: 0.500 0.500 0.000  0.05
Ta: 0.000 0.180 0.320  -0.05
Co: 0.500 0.712 0.431  0.20
Be: 0.000 0.884 0.384  -0.01
Ni: 0.000 0.500 0.500  0.28
Co: 0.500 0.212 0.069  0.20
Be: 0.000 0.384 0.116  -0.01
Co: 0.500 0.431 0.288  0.20
Co: 0.500 0.931 0.212  0.20
Co: 0.500 0.569 0.712  0.20
Co: 0.500 0.288 0.569  0.20
Co: 0.500 0.069 0.788  0.20
Co: 0.500 0.788 0.931  0.20
Be: 0.000 0.116 0.616  -0.01
Be: 0.000 0.616 0.884  -0.01
Co: 0.500 0.000 0.500  0.05
Ta: 0.000 0.820 0.680  -0.05
Ni: 0.000 0.000 0.000  0.28
Ta: 0.000 0.680 0.180  -0.05

***

# 2
DFT (PBE) results for an optimized crystal structure of Ta2Be2CoNi5.

Output
- ΔH_f (0 K) (eV per atom) = -0.2065
- density of states at the Fermi level (states/eV per cell) = 14.96

Lattice parameters (Å, degrees): 3.315 8.308 8.308 90.00 90.00 90.00
Site moments in Bohr magnetons follow the coordinates.
Fractional positions:
Be: 0.000 0.888 0.388  0.00
Be: 0.000 0.388 0.112  0.00
Be: 0.000 0.112 0.612  0.00
Ta: 0.000 0.816 0.684  -0.06
Ni: 0.500 0.563 0.710  -0.03
Ni: 0.500 0.210 0.063  -0.03
Ni: 0.500 0.500 0.000  -0.02
Ni: 0.500 0.937 0.210  -0.03
Ni: 0.500 0.790 0.937  -0.03
Ta: 0.000 0.316 0.816  -0.06
Co: 0.000 0.500 0.500  0.63
Ta: 0.000 0.684 0.184  -0.06
Ni: 0.500 0.063 0.790  -0.03
Ni: 0.500 0.710 0.437  -0.03
Ni: 0.500 0.000 0.500  -0.02
Ni: 0.500 0.290 0.563  -0.03
Co: 0.000 0.000 0.000  0.63
Ni: 0.500 0.437 0.290  -0.03
Ta: 0.000 0.184 0.316  -0.06
Be: 0.000 0.612 0.888  0.00

***

# 3
DFT (PBE) results for an optimized crystal structure of ThBeCoNi.

Output
- ΔH_f (0 K) (eV per atom) = -0.3460
- density of states at the Fermi level (states/eV per cell) = 1.80

Lattice parameters (Å, degrees): 3.884 3.880 5.243 111.84 90.00 120.04
Fractional positions:
Co: 0.822 0.644 0.108
Th: 0.613 0.227 0.481
Ni: 0.411 0.823 0.877
Be: 0.120 0.240 0.002

***

# 4
DFT (PBE) results for an optimized crystal structure of Ti2Be5CoNi2.

Output
- ΔH_f (0 K) (eV per atom) = -0.2217
- density of states at the Fermi level (states/eV per cell) = 11.89

Lattice parameters (Å, degrees): 3.534 7.826 7.826 90.00 90.00 90.00
Site moments in Bohr magnetons follow the coordinates.
Fractional positions:
Be: 0.500 0.055 0.800  0.00
Ti: 0.000 0.679 0.179  0.03
Ni: 0.000 0.382 0.118  0.00
Co: 0.000 0.000 0.000  0.22
Be: 0.500 0.945 0.200  0.00
Ni: 0.000 0.118 0.618  0.00
Be: 0.500 0.445 0.300  0.00
Be: 0.500 0.555 0.700  0.00
Ni: 0.000 0.618 0.882  0.00
Be: 0.500 0.700 0.445  0.00
Ti: 0.000 0.821 0.679  0.03
Ni: 0.000 0.882 0.382  0.00
Be: 0.500 0.000 0.500  0.00
Be: 0.500 0.300 0.555  0.00
Ti: 0.000 0.321 0.821  0.03
Be: 0.500 0.500 0.000  0.00
Be: 0.500 0.800 0.945  0.00
Co: 0.000 0.500 0.500  0.22
Be: 0.500 0.200 0.055  0.00
Ti: 0.000 0.179 0.321  0.03

***

# 5
DFT (PBE) results for an optimized crystal structure of BeVCoNi.

Output
- ΔH_f (0 K) (eV per atom) = -0.2280
- density of states at the Fermi level (states/eV per cell) = 3.96

Lattice parameters (Å, degrees): 3.920 3.920 3.920 60.00 60.00 60.00
Site moments in Bohr magnetons follow the coordinates.
Fractional positions:
V: 0.500 0.500 0.500  0.33
Be: 0.000 0.000 0.000  0.01
Ni: 0.250 0.250 0.250  0.43
Co: 0.750 0.750 0.750  0.60

***

# 6
DFT (PBE) results for an optimized crystal structure of Y2Be3CoNi12.

Output
- ΔH_f (0 K) (eV per atom) = 0.2856
- density of states at the Fermi level (states/eV per cell) = 15.20

Lattice parameters (Å, degrees): 6.904 6.904 6.904 64.05 64.05 64.05
Site moments in Bohr magnetons follow the coordinates.
Fractional positions:
Co: 0.000 0.000 0.000  1.78
Ni: 0.381 0.871 0.871  0.25
Be: 0.500 0.000 0.000  -0.01
Ni: 0.655 0.092 0.655  0.02
Ni: 0.655 0.655 0.092  0.02
Y: 0.606 0.606 0.606  -0.03
Ni: 0.871 0.381 0.871  0.25
Y: 0.394 0.394 0.394  -0.03
Ni: 0.345 0.908 0.345  0.02
Ni: 0.908 0.345 0.345  0.02
Ni: 0.129 0.619 0.129  0.25
Ni: 0.129 0.129 0.619  0.25
Ni: 0.871 0.871 0.381  0.25
Ni: 0.092 0.655 0.655  0.02
Be: 0.000 0.000 0.500  -0.01
Be: 0.000 0.500 0.000  -0.01
Ni: 0.619 0.129 0.129  0.25
Ni: 0.345 0.345 0.908  0.02

***

| no. | M_tot (Bohr magnetons per cell) |
| --- | --- |
| 1 | 1.8 |
| 2 | 0.6 |
| 3 | 0.0 |
| 4 | 0.5 |
| 5 | 1.4 |
| 6 | 3.2 |